No. 1
The following is a PBE calculation of an optimized crystal structure of ScRe2IO, from Alexandria.

Values from the calculation:
ΔE_f (raw) ... 326.9 meV/atom
Density of states at the Fermi level ... 0.63 states/eV per atom
V ... 79.5 Å³/cell
DFT total energy ... -7.22 eV per atom
Crystal system ... tetragonal
Space-group type ... P4/mmm, No. 123

Cell lengths 4.205, 4.495, 4.205 Å; angles 90.00, 90.00, 90.00 degrees
Element x y z (fractional)
I (0.500, 0.500, 0.500)
Re (0.000, 0.000, 0.500)
Re (0.500, 0.000, 0.000)
Sc (0.000, 0.500, 0.000)
O (0.000, 0.000, 0.000)

No. 2
The following is a PBE calculation of an optimized crystal structure of ScReIO2, from Alexandria.

Values from the calculation:
ΔE_f (raw) ... -581.4 meV/atom
Density of states at the Fermi level ... 0.61 states/eV per atom
V ... 96.5 Å³/cell
DFT total energy ... -6.63 eV per atom
Crystal system ... tetragonal
Polymorph energy (0 for the lowest one) ... 0 meV per atom
Space-group type ... P4/mmm, No. 123

Cell lengths 3.875, 3.875, 6.424 Å; angles 90.00, 90.00, 90.00 degrees
Element x y z (fractional)
I (0.000, 0.000, 0.500)
Re (0.000, 0.000, 0.000)
Sc (0.500, 0.500, 0.500)
O (0.000, 0.500, 0.000)
O (0.500, 0.000, 0.000)

No. 3
The following is a PBE calculation of an optimized crystal structure of ReSeIO2, from Alexandria.

Values from the calculation:
ΔE_f (raw) ... -413.9 meV/atom
Density of states at the Fermi level ... 0.42 states/eV per atom
V ... 89.8 Å³/cell
DFT total energy ... -5.89 eV per atom
Crystal system ... tetragonal
Polymorph energy (0 for the lowest one) ... 0 meV per atom
Space-group type ... P4/mmm, No. 123

Cell lengths 3.888, 3.888, 5.944 Å; angles 90.00, 90.00, 90.00 degrees
Element x y z (fractional)
I (0.000, 0.000, 0.500)
Re (0.000, 0.000, 0.000)
O (0.000, 0.500, 0.000)
O (0.500, 0.000, 0.000)
Se (0.500, 0.500, 0.500)